Record 1
Tb7YHg2 | Alexandria | PBE | relaxed; density of states at the Fermi level = 21.37 states/eV/f.u.; total DFT energy (no corrections) = -36.67 eV for the cell shown; SG = No. 65
1.0
4.541 -7.725 0.000
4.541 7.725 0.000
0.000 0.000 5.285
Tb Y Hg
7 1 2
Direct
0.000 0.000 0.000
0.197 0.438 0.000
0.266 0.734 0.500
0.438 0.197 0.000
0.562 0.803 0.000
0.734 0.266 0.500
0.803 0.562 0.000
0.500 0.500 0.500
0.194 0.806 0.000
0.806 0.194 0.000

---

Record 2
NpCu2H8Rh | Alexandria | PBE | relaxed; density of states at the Fermi level = 7.32 states/eV/f.u.; total DFT energy (no corrections) = -55.93 eV for the cell shown; SG = No. 2
1.0
4.431 0.000 0.000
-0.003 4.546 0.000
-0.026 -0.142 5.107
Np Cu H Rh
1 2 8 1
Direct
0.000 0.000 0.000
0.497 0.497 0.763
0.503 0.503 0.237
0.212 0.500 0.999
0.228 0.236 0.608
0.232 0.760 0.390
0.499 0.876 0.813
0.501 0.124 0.187
0.768 0.240 0.610
0.772 0.764 0.392
0.788 0.500 0.001
0.500 0.000 0.500

---

Record 3
HfIr3Br | Alexandria | PBE | relaxed; density of states at the Fermi level = 5.41 states/eV/f.u.; E above lowest polymorph = 0.0 meV/atom; formation energy without anion corrections = 1.333 eV/atom; total DFT energy (no corrections) = -31.55 eV for the cell shown; SG = No. 221
1.0
4.608 0.000 0.000
0.000 4.608 0.000
0.000 0.000 4.608
Hf Ir Br
1 3 1
Direct
0.000 0.000 0.000
0.000 0.500 0.500
0.500 0.000 0.500
0.500 0.500 0.000
0.500 0.500 0.500

---

Record 4
TbTm3Au4 | Alexandria | PBE | relaxed; density of states at the Fermi level = 3.11 states/eV/f.u.; total DFT energy (no corrections) = -38.19 eV for the cell shown; SG = No. 166
1.0
2.520 1.455 8.275
-2.520 1.455 8.275
0.000 -2.909 8.275
Tb Tm Au
1 3 4
Direct
0.000 0.000 0.000
0.250 0.250 0.250
0.500 0.500 0.500
0.750 0.750 0.750
0.126 0.126 0.126
0.377 0.377 0.377
0.623 0.623 0.623
0.874 0.874 0.874

---

Record 5
IrAuSe2 | Alexandria | PBE | relaxed; density of states at the Fermi level = 1.93 states/eV/f.u.; formation energy without anion corrections = 0.130 eV/atom; total DFT energy (no corrections) = -18.59 eV for the cell shown; SG = No. 10
1.0
4.728 0.000 0.000
0.000 3.592 0.000
-2.033 0.000 4.854
Ir Au Se
1 1 2
Direct
0.000 0.000 0.000
0.500 0.000 0.500
0.229 0.500 0.824
0.771 0.500 0.176

---

Record 6
RbTl2In2Te4 | Alexandria | PBE | relaxed; density of states at the Fermi level = 0.96 states/eV/f.u.; formation energy without anion corrections = -0.419 eV/atom; total DFT energy (no corrections) = -27.52 eV for the cell shown; SG = No. 12
1.0
9.525 -2.499 0.000
9.525 2.499 0.000
-2.949 0.000 7.962
Rb Tl In Te
1 2 2 4
Direct
0.000 0.000 0.000
0.111 0.111 0.556
0.889 0.889 0.444
0.322 0.322 0.003
0.678 0.678 0.997
0.215 0.215 0.190
0.460 0.460 0.275
0.540 0.540 0.725
0.785 0.785 0.810

---

Record 7
LaBe4Co4 | Alexandria | PBE | relaxed; density of states at the Fermi level = 7.50 states/eV/f.u.; total DFT energy (no corrections) = -49.59 eV for the cell shown; SG = No. 87
1.0
-3.815 3.815 1.911
3.815 -3.815 1.911
3.815 3.815 -1.911
La Be Co
1 4 4
Direct
0.000 0.000 0.000
0.219 0.327 0.547
0.327 0.781 0.108
0.673 0.219 0.892
0.781 0.673 0.453
0.113 0.596 0.709
0.404 0.113 0.516
0.596 0.887 0.484
0.887 0.404 0.291

---

Record 8
Be2ReIrS | Alexandria | PBE | relaxed; density of states at the Fermi level = 3.08 states/eV/f.u.; formation energy without anion corrections = 1.398 eV/atom; total DFT energy (no corrections) = -25.90 eV for the cell shown; SG = No. 123
1.0
4.246 0.000 0.000
0.000 4.246 0.000
0.000 0.000 4.754
Be Re Ir S
2 1 1 1
Direct
0.000 0.500 0.000
0.500 0.000 0.000
0.000 0.000 0.000
0.000 0.000 0.500
0.500 0.500 0.500

---

Record 9
K2Zn2Au | Alexandria | PBE | relaxed; density of states at the Fermi level = 2.39 states/eV/f.u.; E above lowest polymorph = 92.7 meV/atom; total DFT energy (no corrections) = -8.01 eV for the cell shown; SG = No. 139
1.0
-3.299 3.299 3.756
3.299 -3.299 3.756
3.299 3.299 -3.756
K Zn Au
2 2 1
Direct
0.250 0.750 0.500
0.750 0.250 0.500
0.164 0.164 0.000
0.836 0.836 0.000
0.500 0.500 0.000

---

Record 10
Ta2AgW | Alexandria | PBE | relaxed; density of states at the Fermi level = 5.11 states/eV/f.u.; E above lowest polymorph = 240.0 meV/atom; total DFT energy (no corrections) = -38.13 eV for the cell shown; SG = No. 99
1.0
3.351 0.000 0.000
0.000 3.351 0.000
0.000 0.000 6.258
Ta Ag W
2 1 1
Direct
0.000 0.000 0.000
0.500 0.500 0.251
0.500 0.500 0.741
0.000 0.000 0.475

---

Record 11
Ca2Zn3SnAu4 | Alexandria | PBE | relaxed; density of states at the Fermi level = 4.85 states/eV/f.u.; total DFT energy (no corrections) = -29.77 eV for the cell shown; SG = No. 115
1.0
4.409 0.000 0.000
0.000 4.409 0.000
0.000 0.000 11.148
Ca Zn Sn Au
2 3 1 4
Direct
0.000 0.500 0.242
0.500 0.000 0.758
0.000 0.500 0.874
0.500 0.000 0.126
0.500 0.500 0.500
0.000 0.000 0.500
0.000 0.000 0.000
0.000 0.500 0.649
0.500 0.000 0.351
0.500 0.500 0.000

---

Record 12
Mn2Sb3 | Alexandria | PBE | relaxed; density of states at the Fermi level = 3.77 states/eV/f.u.; E above lowest polymorph = 0.0 meV/atom; formation energy without anion corrections = 0.042 eV/atom; total DFT energy (no corrections) = -60.99 eV for the cell shown; SG = No. 167
1.0
3.345 1.931 5.641
-3.345 1.931 5.641
0.000 -3.862 5.641
Mn Sb
4 6
Direct
0.170 0.170 0.170
0.330 0.330 0.330
0.670 0.670 0.670
0.830 0.830 0.830
0.098 0.750 0.402
0.250 0.598 0.902
0.402 0.098 0.750
0.598 0.902 0.250
0.750 0.402 0.098
0.902 0.250 0.598

---

Record 13
CoRu2Cl | Alexandria | PBE | relaxed; density of states at the Fermi level = 5.37 states/eV/f.u.; E above lowest polymorph = 329.3 meV/atom; formation energy without anion corrections = 0.684 eV/atom; total DFT energy (no corrections) = -24.77 eV for the cell shown; SG = No. 65
1.0
1.395 -2.444 0.000
1.395 2.444 0.000
0.000 0.000 8.453
Co Ru Cl
1 2 1
Direct
0.000 0.000 0.000
0.500 0.500 0.245
0.500 0.500 0.755
0.000 0.000 0.500

---

Record 14
CaErFe4 | Alexandria | PBE | relaxed; density of states at the Fermi level = 9.08 states/eV/f.u.; total DFT energy (no corrections) = -39.80 eV for the cell shown; SG = No. 216
1.0
0.000 3.617 3.617
3.617 0.000 3.617
3.617 3.617 0.000
Ca Er Fe
1 1 4
Direct
0.000 0.000 0.000
0.250 0.250 0.250
0.126 0.625 0.625
0.625 0.126 0.625
0.625 0.625 0.126
0.625 0.625 0.625

---

Record 15
SmAlZn | Alexandria | PBE | relaxed; density of states at the Fermi level = 1.30 states/eV/f.u.; total DFT energy (no corrections) = -10.73 eV for the cell shown; SG = No. 216
1.0
0.000 3.267 3.267
3.267 0.000 3.267
3.267 3.267 0.000
Sm Al Zn
1 1 1
Direct
0.000 0.000 0.000
0.500 0.500 0.500
0.750 0.750 0.750

---

Record 16
TcW2Au | Alexandria | PBE | relaxed; density of states at the Fermi level = 3.21 states/eV/f.u.; E above lowest polymorph = 114.7 meV/atom; total DFT energy (no corrections) = -38.22 eV for the cell shown; SG = No. 99
1.0
2.784 0.000 0.000
0.000 2.784 0.000
0.000 0.000 8.371
Tc W Au
1 2 1
Direct
0.000 0.000 0.000
0.000 0.000 0.477
0.500 0.500 0.224
0.500 0.500 0.738

---

Record 17
PaFe4Ir | Alexandria | PBE | relaxed; density of states at the Fermi level = 5.65 states/eV/f.u.; total DFT energy (no corrections) = -53.09 eV for the cell shown; SG = No. 216
1.0
0.000 3.510 3.510
3.510 0.000 3.510
3.510 3.510 0.000
Pa Fe Ir
1 4 1
Direct
0.000 0.000 0.000
0.126 0.625 0.625
0.625 0.126 0.625
0.625 0.625 0.126
0.625 0.625 0.625
0.250 0.250 0.250

---

Record 18
ZnAsCN2 | Alexandria | PBE | relaxed; density of states at the Fermi level = 3.66 states/eV/f.u.; formation energy without anion corrections = 2.652 eV/atom; total DFT energy (no corrections) = -18.54 eV for the cell shown; SG = No. 123
1.0
3.630 0.000 0.000
0.000 3.630 0.000
0.000 0.000 5.388
Zn As C N
1 1 1 2
Direct
0.000 0.000 0.000
0.000 0.000 0.500
0.500 0.500 0.500
0.000 0.500 0.000
0.500 0.000 0.000

---

Record 19
RbTe2H2O6 | Alexandria | PBE | relaxed; density of states at the Fermi level = 3.23 states/eV/f.u.; total DFT energy (no corrections) = -55.55 eV for the cell shown; SG = No. 2
1.0
5.507 0.000 0.000
2.678 5.265 0.000
0.827 0.231 5.872
Rb Te H O
1 2 2 6
Direct
0.000 0.000 0.000
0.325 0.362 0.433
0.675 0.638 0.567
0.338 0.368 0.996
0.662 0.632 0.004
0.015 0.696 0.407
0.296 0.266 0.126
0.418 0.496 0.716
0.582 0.504 0.284
0.704 0.734 0.874
0.985 0.304 0.593